Below is crystalline CaTi2InSn at its relaxed geometry, with properties calculated at the PBE level.

Cell and atoms, written as POSCAR:
```
CaTi2InSn
1.0
5.8652 0.0000 0.0000
0.0000 5.1926 0.0000
0.0000 0.0000 5.8652
Ca Ti Sn In
1 2 1 1
Cartesian
2.9326 2.5963 2.9326
0.0000 0.0000 2.9326
2.9326 0.0000 0.0000
0.0000 2.5963 0.0000
0.0000 0.0000 0.0000
```

Summary:
Its total energy is -3.934 eV/atom. The volume comes out at 178.6 Å³/cell. The calculation puts the size of the total moment at 4.76 μB/f.u. The formation energy is 0.973 eV per atom.